## a
Computed, not measured: a relaxed LaBeSe2Br crystal at the PBE-GGA level of DFT.

Lattice parameters (Å, degrees): 4.8791 4.8791 4.6636 90.00 90.00 90.00
Space group P4/mmm (No. 123)
Unique sites:
La  0.0000  0.0000  0.0000 [1 per cell]
Be  0.5000  0.5000  0.5000 [1 per cell]
Se  0.0000  0.5000  0.5000 [2 per cell]
Br  0.5000  0.5000  0.0000 [1 per cell]


## b
Computed, not measured: a relaxed LaBeSe2Br crystal at the PBE-GGA level of DFT.

Lattice parameters (Å, degrees): 5.8140 5.8140 5.7674 90.00 90.00 90.00
Space group P4/mmm (No. 123)
Unique sites:
La  0.0000  0.0000  0.0000 [1 per cell]
Be  0.5000  0.5000  0.5000 [1 per cell]
Se  0.0000  0.5000  0.0000 [2 per cell]
Br  0.0000  0.0000  0.5000 [1 per cell]


Least stable of them? b.


## a
Computed, not measured: a relaxed LiBeBr crystal at the PBE-GGA level of DFT.

Lattice parameters (Å, degrees): 3.2574 3.2574 12.0153 90.00 90.00 90.00
Space group I4mm (No. 107)
Unique sites:
Li  0.0000  0.0000  0.0000 [2 per cell]
Be  0.0000  0.0000  0.3744 [2 per cell]
Br  0.0000  0.0000  0.7719 [2 per cell]


## b
Computed, not measured: a relaxed LiBeBr crystal at the PBE-GGA level of DFT.

Lattice parameters (Å, degrees): 3.4273 6.0573 11.7360 90.00 90.00 90.00
Space group Fmm2 (No. 42)
Unique sites:
Li  0.0000  0.0000  0.0000 [4 per cell]
Be  0.0000  0.0000  0.3398 [4 per cell]
Br  0.0000  0.0000  0.7094 [4 per cell]


Least stable of them? a.


## a
Computed, not measured: a relaxed LiBeBr crystal at the PBE-GGA level of DFT.

Lattice parameters (Å, degrees): 6.4703 6.4703 6.4703 90.00 90.00 90.00
Space group F-43m (No. 216)
Unique sites:
Li  0.0000  0.0000  0.0000 [4 per cell]
Be  0.2500  0.2500  0.2500 [4 per cell]
Br  0.2500  0.2500  0.7500 [4 per cell]


## b
Computed, not measured: a relaxed LiBeBr crystal at the PBE-GGA level of DFT.

Lattice parameters (Å, degrees): 3.4355 3.4355 5.5906 90.00 90.00 120.00
Space group P3m1 (No. 156)
Unique sites:
Li  0.0000  0.0000  0.0000 [1 per cell]
Be  0.6667  0.3333  0.3358 [1 per cell]
Br  0.3333  0.6667  0.5987 [1 per cell]


Least stable of them? a.


## a
Computed, not measured: a relaxed LiBeNi2Br crystal at the PBE-GGA level of DFT.

Lattice parameters (Å, degrees): 3.9689 3.9689 5.0878 90.00 90.00 90.00
Space group P4/mmm (No. 123)
Unique sites:
Li  0.0000  0.0000  0.0000 [1 per cell]
Be  0.5000  0.5000  0.5000 [1 per cell]
Ni  0.0000  0.5000  0.5000 [2 per cell]
Br  0.5000  0.5000  0.0000 [1 per cell]


## b
Computed, not measured: a relaxed LiBeNi2Br crystal at the PBE-GGA level of DFT.

Lattice parameters (Å, degrees): 3.9597 3.9597 4.8771 90.00 90.00 90.00
Space group P4/mmm (No. 123)
Unique sites:
Li  0.0000  0.0000  0.0000 [1 per cell]
Be  0.0000  0.0000  0.5000 [1 per cell]
Ni  0.0000  0.5000  0.5000 [2 per cell]
Br  0.5000  0.5000  0.0000 [1 per cell]


Least stable of them? a.